w.
VASP calculation (PBE) on an optimized crystal structure of Ac2LuTl.

Output
M_tot = 0.00 Bohr magnetons per cell

Cell: 5.215 5.215 5.162 Å, 90.00 90.00 90.00°
Positions (direct):
Ac 0.000 0.500 0.000
Ac 0.500 0.000 0.000
Lu 0.000 0.000 0.500
Tl 0.500 0.500 0.500


x.
VASP calculation (PBE) on an optimized crystal structure of Ac2LuTl.

Output
M_tot = 0.00 Bohr magnetons per cell

Cell: 5.876 5.876 5.876 Å, 60.00 60.00 60.00°
Positions (direct):
Ac 0.250 0.250 0.250
Ac 0.750 0.750 0.750
Lu 0.000 0.000 0.000
Tl 0.500 0.500 0.500


The structure with the least stability is x.


w.
VASP calculation (PBE) on an optimized crystal structure of AcLu2Tl.

Output
M_tot = 0.00 Bohr magnetons per cell

Cell: 3.693 3.693 9.211 Å, 90.00 90.00 90.00°
Positions (direct):
Ac 0.000 0.000 0.000
Lu 0.500 0.500 0.288
Lu 0.500 0.500 0.712
Tl 0.000 0.000 0.500


x.
VASP calculation (PBE) on an optimized crystal structure of AcLu2Tl.

Output
M_tot = 1.67 Bohr magnetons per cell

Cell: 5.576 5.576 5.576 Å, 60.00 60.00 60.00°
Positions (direct):
Ac 0.000 0.000 0.000
Lu 0.250 0.250 0.250
Lu 0.750 0.750 0.750
Tl 0.500 0.500 0.500


y.
VASP calculation (PBE) on an optimized crystal structure of AcLu2Tl.

Output
M_tot = 0.00 Bohr magnetons per cell

Cell: 6.281 6.281 6.281 Å, 49.75 49.75 49.75°
Positions (direct):
Ac 0.000 0.000 0.000
Lu 0.219 0.219 0.219
Lu 0.781 0.781 0.781
Tl 0.500 0.500 0.500


The structure with the least stability is x.